Computed, not measured: an optimized crystal structure of Nd3Dy3In5 at the PBE level of DFT.

extended XYZ file:
```
11
Lattice="9.0757 0.0000 0.0000 -4.5378 7.8598 0.0000 0.0000 0.0000 5.7375" Properties=species:S:1:pos:R:3 pbc="T T T"
Nd -2.4086 4.1719 0.0000
Nd 2.1292 3.6879 0.0000
Nd 4.8173 0.0000 0.0000
Dy -1.2346 2.1385 2.8687
Dy 2.4693 0.0000 2.8687
Dy 3.3032 5.7213 2.8687
In -2.9070 5.0351 2.8687
In 0.0000 5.2398 2.8687
In 1.6308 2.8247 2.8687
In 5.8140 0.0000 2.8687
In 4.5378 2.6199 2.8687
```

Values from the calculation:
energy of formation from the pure elements	2.04	eV per formula unit
crystal system	hexagonal

Computed, not measured: an optimized crystal structure of NdDy4In at the PBE level of DFT.

extended XYZ file:
```
6
Lattice="3.5924 0.0000 0.0000 0.0000 3.5924 0.0000 0.0000 0.0000 14.3036" Properties=species:S:1:pos:R:3 pbc="T T T"
Nd 0.0000 0.0000 0.0000
Dy 0.0000 0.0000 5.0651
Dy 0.0000 0.0000 9.2385
Dy 1.7962 1.7962 2.5652
Dy 1.7962 1.7962 11.7384
In 1.7962 1.7962 7.1518
```

Values from the calculation:
energy of formation from the pure elements	-0.88	eV per formula unit
crystal system	tetragonal

Computed, not measured: an optimized crystal structure of Nd12DyIn3 at the PBE level of DFT.

extended XYZ file:
```
16
Lattice="5.0017 0.0000 0.0000 0.0000 5.0017 0.0000 0.0000 0.0000 20.3831" Properties=species:S:1:pos:R:3 pbc="T T T"
Nd 0.0000 0.0000 0.0000
Nd 0.0000 0.0000 5.0069
Nd 0.0000 0.0000 10.1916
Nd 0.0000 0.0000 15.3763
Nd 0.0000 2.5009 2.5070
Nd 0.0000 2.5009 7.5239
Nd 0.0000 2.5009 12.8593
Nd 0.0000 2.5009 17.8762
Nd 2.5009 0.0000 2.5070
Nd 2.5009 0.0000 7.5239
Nd 2.5009 0.0000 12.8593
Nd 2.5009 0.0000 17.8762
Dy 2.5009 2.5009 10.1916
In 2.5009 2.5009 0.0000
In 2.5009 2.5009 4.9800
In 2.5009 2.5009 15.4031
```

Values from the calculation:
energy of formation from the pure elements	-3.16	eV per formula unit
crystal system	tetragonal